SrY2Hg | PBE | optimized geometry

Spin magnetization   0.0 μB/f.u.
E_form   0.492 eV per atom
Symmetry   I4_1/amd, No. 141

a = 5.986 Å, b = 5.986 Å, c = 20.537 Å
α = 90.00°, β = 90.00°, γ = 90.00°
Atoms (fractional coordinates):
1 Sr 0.000 0.250 0.375
2 Sr 0.000 0.750 0.625
3 Sr 0.500 0.250 0.125
4 Sr 0.500 0.750 0.875
5 Y 0.000 0.000 0.000
6 Y 0.000 0.500 0.000
7 Y 0.250 0.250 0.750
8 Y 0.250 0.750 0.250
9 Y 0.500 0.000 0.500
10 Y 0.500 0.500 0.500
11 Y 0.750 0.250 0.750
12 Y 0.750 0.750 0.250
13 Hg 0.000 0.250 0.875
14 Hg 0.000 0.750 0.125
15 Hg 0.500 0.250 0.625
16 Hg 0.500 0.750 0.375



SrYHg2 | PBE | optimized geometry

Spin magnetization   0.0 μB/f.u.
E_form   -0.356 eV per atom
Symmetry   C2/m, No. 12

a = 9.204 Å, b = 4.123 Å, c = 7.083 Å
α = 90.00°, β = 105.82°, γ = 90.00°
Atoms (fractional coordinates):
1 Sr 0.000 0.000 0.000
2 Sr 0.500 0.500 0.000
3 Y 0.000 0.500 0.500
4 Y 0.500 0.000 0.500
5 Hg 0.244 0.000 0.704
6 Hg 0.256 0.500 0.296
7 Hg 0.744 0.500 0.704
8 Hg 0.756 0.000 0.296



SrY2Hg | PBE | optimized geometry

Spin magnetization   0.0 μB/f.u.
E_form   -0.098 eV per atom
Symmetry   Cm, No. 8

a = 13.099 Å, b = 3.959 Å, c = 5.512 Å
α = 90.00°, β = 114.88°, γ = 90.00°
Atoms (fractional coordinates):
1 Sr 0.000 0.000 0.000
2 Sr 0.500 0.500 0.000
3 Y 0.080 0.500 0.580
4 Y 0.290 0.500 0.289
5 Y 0.580 0.000 0.580
6 Y 0.790 0.000 0.289
7 Hg 0.275 0.000 0.773
8 Hg 0.775 0.500 0.773



Sr2YHg | PBE | optimized geometry

Spin magnetization   0.0 μB/f.u.
E_form   -0.082 eV per atom
Symmetry   Pm, No. 6

a = 4.350 Å, b = 5.006 Å, c = 7.360 Å
α = 90.00°, β = 107.18°, γ = 90.00°
Atoms (fractional coordinates):
1 Sr 0.000 0.000 0.000
2 Sr 0.329 0.500 0.660
3 Y 0.619 0.500 0.239
4 Hg 0.743 0.000 0.490



SrY2Hg | PBE | optimized geometry

Spin magnetization   0.0 μB/f.u.
E_form   0.065 eV per atom
Symmetry   F-43m, No. 216

a = 7.969 Å, b = 7.969 Å, c = 7.969 Å
α = 90.00°, β = 90.00°, γ = 90.00°
Atoms (fractional coordinates):
1 Sr 0.000 0.000 0.000
2 Sr 0.000 0.500 0.500
3 Sr 0.500 0.000 0.500
4 Sr 0.500 0.500 0.000
5 Y 0.000 0.000 0.500
6 Y 0.000 0.500 0.000
7 Y 0.250 0.250 0.250
8 Y 0.250 0.750 0.750
9 Y 0.500 0.000 0.000
10 Y 0.500 0.500 0.500
11 Y 0.750 0.250 0.750
12 Y 0.750 0.750 0.250
13 Hg 0.250 0.250 0.750
14 Hg 0.250 0.750 0.250
15 Hg 0.750 0.250 0.250
16 Hg 0.750 0.750 0.750



SrY2Hg2 | PBE | optimized geometry

Spin magnetization   0.5 μB/f.u.
E_form   -0.260 eV per atom
Symmetry   I4/mmm, No. 139

a = 4.781 Å, b = 4.781 Å, c = 13.980 Å
α = 90.00°, β = 90.00°, γ = 90.00°
Atoms (fractional coordinates):
1 Sr 0.000 0.000 0.000
2 Sr 0.500 0.500 0.500
3 Y 0.000 0.500 0.250
4 Y 0.000 0.500 0.750
5 Y 0.500 0.000 0.250
6 Y 0.500 0.000 0.750
7 Hg 0.000 0.000 0.397
8 Hg 0.000 0.000 0.603
9 Hg 0.500 0.500 0.103
10 Hg 0.500 0.500 0.897



SrYHg2 | PBE | optimized geometry

Spin magnetization   0.0 μB/f.u.
E_form   -0.189 eV per atom
Symmetry   I-42d, No. 122

a = 8.362 Å, b = 8.362 Å, c = 7.710 Å
α = 90.00°, β = 90.00°, γ = 90.00°
Atoms (fractional coordinates):
1 Sr 0.000 0.000 0.000
2 Sr 0.000 0.500 0.250
3 Sr 0.500 0.000 0.750
4 Sr 0.500 0.500 0.500
5 Y 0.000 0.000 0.500
6 Y 0.000 0.500 0.750
7 Y 0.500 0.000 0.250
8 Y 0.500 0.500 0.000
9 Hg 0.225 0.750 0.625
10 Hg 0.250 0.225 0.375
11 Hg 0.250 0.275 0.875
12 Hg 0.275 0.750 0.125
13 Hg 0.725 0.250 0.125
14 Hg 0.750 0.725 0.875
15 Hg 0.750 0.775 0.375
16 Hg 0.775 0.250 0.625



Sr2YHg | PBE | optimized geometry

Spin magnetization   0.0 μB/f.u.
E_form   -0.066 eV per atom
Symmetry   Immm, No. 71

a = 4.051 Å, b = 5.712 Å, c = 12.576 Å
α = 90.00°, β = 90.00°, γ = 90.00°
Atoms (fractional coordinates):
1 Sr 0.000 0.000 0.203
2 Sr 0.000 0.000 0.797
3 Sr 0.500 0.500 0.297
4 Sr 0.500 0.500 0.703
5 Y 0.000 0.500 0.000
6 Y 0.500 0.000 0.500
7 Hg 0.000 0.500 0.500
8 Hg 0.500 0.000 0.000



In order of appearance, E = -3.236, -2.544, -3.826, -2.614, -3.663, -3.302, -2.376, -2.598 eV per atom.